#one
5
Lattice="4.171 0.000 0.000 0.000 4.171 0.000 0.000 0.000 5.341" Properties=species:S:1:pos:R:3 comment="LiHfPCl2 | Alexandria | PBE | relaxed" sg="P4/mmm (123)" pbc="T T T"
Li 0.000 0.000 0.000
Hf 2.086 2.086 2.671
P 0.000 0.000 2.671
Cl 0.000 2.086 0.000
Cl 2.086 0.000 0.000


#two
5
Lattice="5.016 0.000 0.000 0.000 5.016 0.000 0.000 0.000 5.050" Properties=species:S:1:pos:R:3 comment="LiHfPCl2 | Alexandria | PBE | relaxed" sg="P4/mmm (123)" pbc="T T T"
Li 0.000 0.000 0.000
Hf 2.508 2.508 2.525
P 2.508 2.508 0.000
Cl 0.000 2.508 2.525
Cl 2.508 0.000 2.525


Stability, lowest: #one


#one
5
Lattice="4.443 0.000 0.000 0.000 4.443 0.000 0.000 0.000 4.332" Properties=species:S:1:pos:R:3 comment="LiHfP2Cl | Alexandria | PBE | relaxed" sg="P4/mmm (123)" pbc="T T T"
Li 0.000 0.000 0.000
Hf 2.221 2.221 2.166
P 0.000 2.221 0.000
P 2.221 0.000 0.000
Cl 0.000 0.000 2.166


#two
5
Lattice="4.973 0.000 0.000 0.000 4.973 0.000 0.000 0.000 5.169" Properties=species:S:1:pos:R:3 comment="LiHfP2Cl | Alexandria | PBE | relaxed" sg="P4/mmm (123)" pbc="T T T"
Li 0.000 0.000 0.000
Hf 2.486 2.486 2.584
P 0.000 2.486 2.584
P 2.486 0.000 2.584
Cl 2.486 2.486 0.000


Stability, lowest: #one


#one
5
Lattice="4.952 0.000 0.000 0.000 4.952 0.000 0.000 0.000 5.029" Properties=species:S:1:pos:R:3 comment="LiHfS2Cl | Alexandria | PBE | relaxed" sg="P4/mmm (123)" pbc="T T T"
Li 0.000 0.000 0.000
Hf 2.476 2.476 2.514
S 0.000 2.476 2.514
S 2.476 0.000 2.514
Cl 2.476 2.476 0.000


#two
5
Lattice="4.563 0.000 0.000 0.000 4.563 0.000 0.000 0.000 4.123" Properties=species:S:1:pos:R:3 comment="LiHfS2Cl | Alexandria | PBE | relaxed" sg="P4/mmm (123)" pbc="T T T"
Li 0.000 0.000 0.000
Hf 2.282 2.282 2.062
S 0.000 2.282 0.000
S 2.282 0.000 0.000
Cl 0.000 0.000 2.062


Stability, lowest: #two


#one
4
Lattice="0.000 3.650 3.650 3.650 0.000 3.650 3.650 3.650 0.000" Properties=species:S:1:pos:R:3 comment="HfMg2Cl | Alexandria | PBE | relaxed" sg="Fm-3m (225)" pbc="T T T"
Hf 0.000 0.000 0.000
Mg 1.825 1.825 1.825
Mg 5.475 5.475 5.475
Cl 3.650 3.650 3.650


#two
8
Lattice="-3.939 3.939 2.815 3.939 -3.939 2.815 3.939 3.939 -2.815" Properties=species:S:1:pos:R:3 comment="HfMg2Cl | Alexandria | PBE | relaxed" sg="I-42d (122)" pbc="T T T"
Hf 0.000 0.000 0.000
Hf 0.000 3.939 1.408
Mg 1.969 -1.621 2.111
Mg 2.317 1.969 0.704
Mg 1.969 5.560 -0.704
Mg 1.621 1.969 3.519
Cl 3.939 0.000 1.408
Cl 0.000 0.000 2.815


Stability, lowest: #one


#one
4
Lattice="1.618 0.934 10.074 -1.618 0.934 10.074 0.000 -1.868 10.074" Properties=species:S:1:pos:R:3 comment="HfMgCl2 | Alexandria | PBE | relaxed" sg="R-3m (166)" pbc="T T T"
Hf 0.000 0.000 0.000
Mg 0.000 0.000 15.111
Cl 0.000 0.000 11.920
Cl 0.000 0.000 18.302


#two
8
Lattice="-2.996 2.996 5.336 2.996 -2.996 5.336 2.996 2.996 -5.336" Properties=species:S:1:pos:R:3 comment="HfMgCl2 | Alexandria | PBE | relaxed" sg="I-42d (122)" pbc="T T T"
Hf 0.000 0.000 0.000
Hf 0.000 2.996 2.668
Mg 2.996 0.000 2.668
Mg 0.000 0.000 5.336
Cl 1.498 -1.330 4.002
Cl 1.665 1.498 1.334
Cl 1.498 4.326 -1.334
Cl 1.330 1.498 6.670


#three
4
Lattice="0.000 3.337 3.337 3.337 0.000 3.337 3.337 3.337 0.000" Properties=species:S:1:pos:R:3 comment="HfMgCl2 | Alexandria | PBE | relaxed" sg="Fm-3m (225)" pbc="T T T"
Hf 0.000 0.000 0.000
Mg 3.337 3.337 3.337
Cl 1.669 1.669 1.669
Cl 5.006 5.006 5.006


Stability, lowest: #two


#one
8
Lattice="3.202 1.848 5.726 -3.202 1.848 5.726 0.000 -3.697 5.726" Properties=species:S:1:pos:R:3 comment="HfMnCl6 | Alexandria | PBE | relaxed" sg="R-3 (148)" pbc="T T T"
Hf 0.000 0.000 0.000
Mn 0.000 0.000 8.590
Cl -2.085 0.165 7.139
Cl -1.185 -1.724 10.041
Cl 0.900 -1.888 7.139
Cl -0.900 1.888 10.041
Cl 1.185 1.724 7.139
Cl 2.085 -0.165 10.041


#two
8
Lattice="3.108 -6.298 0.000 3.108 6.298 0.000 -1.949 0.000 5.902" Properties=species:S:1:pos:R:3 comment="HfMnCl6 | Alexandria | PBE | relaxed" sg="C2/m (12)" pbc="T T T"
Hf 0.000 0.000 0.000
Mn 2.133 0.000 2.951
Cl 1.049 1.716 1.446
Cl 0.027 0.000 4.470
Cl 1.049 -1.716 1.446
Cl 3.218 1.716 4.455
Cl 4.239 0.000 1.432
Cl 3.218 -1.716 4.455


Stability, lowest: #one


#one
4
Lattice="1.593 0.920 9.741 -1.593 0.920 9.741 0.000 -1.839 9.741" Properties=species:S:1:pos:R:3 comment="HfMnCl2 | Alexandria | PBE | relaxed" sg="R-3m (166)" pbc="T T T"
Hf 0.000 0.000 0.000
Mn 0.000 0.000 14.612
Cl 0.000 0.000 11.602
Cl 0.000 0.000 17.622


#two
4
Lattice="0.000 3.217 3.217 3.217 0.000 3.217 3.217 3.217 0.000" Properties=species:S:1:pos:R:3 comment="HfMnCl2 | Alexandria | PBE | relaxed" sg="Fm-3m (225)" pbc="T T T"
Hf 0.000 0.000 0.000
Mn 3.217 3.217 3.217
Cl 1.609 1.609 1.609
Cl 4.826 4.826 4.826


Stability, lowest: #two


#one
5
Lattice="4.959 0.000 0.000 0.000 4.959 0.000 0.000 0.000 4.947" Properties=species:S:1:pos:R:3 comment="HfMnS2Cl | Alexandria | PBE | relaxed" sg="P4/mmm (123)" pbc="T T T"
Hf 0.000 0.000 0.000
Mn 2.479 2.479 2.473
S 0.000 2.479 0.000
S 2.479 0.000 0.000
Cl 0.000 0.000 2.473


#two
5
Lattice="4.619 0.000 0.000 0.000 4.619 0.000 0.000 0.000 4.412" Properties=species:S:1:pos:R:3 comment="HfMnS2Cl | Alexandria | PBE | relaxed" sg="P4/mmm (123)" pbc="T T T"
Hf 0.000 0.000 0.000
Mn 2.310 2.310 2.206
S 0.000 2.310 2.206
S 2.310 0.000 2.206
Cl 2.310 2.310 0.000


Stability, lowest: #two